[1]
Pm12Ga6Sn: optimized geometry, PBE.

Output
Energy of formation from the pure elements in kJ/mol of atoms: -40
D(E_F) in states/eV/cell: 17.80
Total magnetization in μB per cell: 0.00

abc: 8.9649 8.9649 8.9649
angles: 109.47 109.47 109.47
Positions (direct):
Pm 0.1062 0.8115 0.2947
Pm 0.1885 0.2947 0.4832
Pm 0.1885 0.7053 0.8938
Pm 0.2947 0.1062 0.8115
Pm 0.2947 0.4832 0.1885
Pm 0.4832 0.1885 0.2947
Pm 0.5168 0.8115 0.7053
Pm 0.7053 0.5168 0.8115
Pm 0.7053 0.8938 0.1885
Pm 0.8115 0.2947 0.1062
Pm 0.8115 0.7053 0.5168
Pm 0.8938 0.1885 0.7053
Ga 0.1210 0.6210 0.5000
Ga 0.3790 0.5000 0.8790
Ga 0.5000 0.1210 0.6210
Ga 0.5000 0.8790 0.3790
Ga 0.6210 0.5000 0.1210
Ga 0.8790 0.3790 0.5000
Sn 0.0000 0.0000 0.0000

***

[2]
Eu: optimized geometry, PBE.

Output
Energy of formation from the pure elements in kJ/mol of atoms: 7
D(E_F) in states/eV/cell: 2.34
Total magnetization in μB per cell: 28.00

abc: 3.9104 6.8293 6.4372
angles: 90.00 90.00 90.00
Positions (direct):
Eu 0.0000 0.1639 0.2500
Eu 0.0000 0.8361 0.7500
Eu 0.5000 0.3361 0.7500
Eu 0.5000 0.6639 0.2500

***

[3]
V4HS8: optimized geometry, PBE.

Output
D(E_F) in states/eV/cell: 7.94
Final energy in eV per atom: -6.27
Total magnetization in μB per cell: 4.17

abc: 6.6717 6.6717 6.6717
angles: 60.00 60.00 60.00
Positions (direct):
V 0.1138 0.1138 0.1138
V 0.1138 0.1138 0.6587
V 0.1138 0.6587 0.1138
V 0.6587 0.1138 0.1138
H 0.5000 0.5000 0.5000
S 0.3718 0.3718 0.3718
S 0.3718 0.3718 0.8845
S 0.3718 0.8845 0.3718
S 0.3915 0.8695 0.8695
S 0.8695 0.3915 0.8695
S 0.8695 0.8695 0.3915
S 0.8695 0.8695 0.8695
S 0.8845 0.3718 0.3718

***

[4]
Pm4Y8Sc: optimized geometry, PBE.

Output
Energy of formation from the pure elements in kJ/mol of atoms: 17
D(E_F) in states/eV/cell: 19.03
Total magnetization in μB per cell: 0.00

abc: 9.8491 9.8491 9.8491
angles: 44.50 44.50 44.50
Positions (direct):
Pm 0.0000 0.0000 0.0000
Pm 0.0000 0.5000 0.5000
Pm 0.5000 0.0000 0.5000
Pm 0.5000 0.5000 0.0000
Y 0.1906 0.7446 0.7446
Y 0.2192 0.2192 0.2192
Y 0.2554 0.2554 0.8094
Y 0.2554 0.8094 0.2554
Y 0.7446 0.1906 0.7446
Y 0.7446 0.7446 0.1906
Y 0.7808 0.7808 0.7808
Y 0.8094 0.2554 0.2554
Sc 0.5000 0.5000 0.5000

***

[5]
CaBe2SbP: optimized geometry, PBE.

Output
D(E_F) in states/eV/cell: 1.56
Formation energy (no corrections) in eV/atom: 0.613
Total magnetization in μB per cell: 0.00

abc: 4.4651 4.4651 6.0848
angles: 90.00 90.00 90.00
Positions (direct):
Ca 0.0000 0.0000 0.0000
Be 0.0000 0.5000 0.5000
Be 0.5000 0.0000 0.5000
Sb 0.0000 0.0000 0.5000
P 0.5000 0.5000 0.0000

***

[6]
AcPuI6: optimized geometry, PBE.

Output
D(E_F) in states/eV/cell: 11.76
Formation energy (no corrections) in eV/atom: -1.246
Total magnetization in μB per cell: 5.00

abc: 8.6407 8.6407 8.6407
angles: 54.20 54.20 54.20
Positions (direct):
Ac 0.0000 0.0000 0.0000
Pu 0.5000 0.5000 0.5000
I 0.0936 0.4232 0.7374
I 0.2626 0.9064 0.5768
I 0.4232 0.7374 0.0936
I 0.5768 0.2626 0.9064
I 0.7374 0.0936 0.4232
I 0.9064 0.5768 0.2626

***

[7]
BeReAs2: optimized geometry, PBE.

Output
Energy of formation from the pure elements in kJ/mol of atoms: 44
D(E_F) in states/eV/cell: 4.91
Total magnetization in μB per cell: 0.00

abc: 3.2242 4.4380 7.9625
angles: 90.00 90.00 90.00
Positions (direct):
Be 0.0000 0.0000 0.0000
Be 0.5000 0.5000 0.5000
Re 0.0000 0.5000 0.7425
Re 0.5000 0.0000 0.2425
As 0.0000 0.0000 0.5201
As 0.0000 0.5000 0.2866
As 0.5000 0.0000 0.7866
As 0.5000 0.5000 0.0201

***

[8]
Cs3Bi4Pb: optimized geometry, PBE.

Output
Energy of formation from the pure elements in kJ/mol of atoms: -17
D(E_F) in states/eV/cell: 9.79
Total magnetization in μB per cell: 0.00

abc: 7.4644 15.0875 7.1284
angles: 90.00 90.00 90.00
Positions (direct):
Cs 0.2500 0.0068 0.1800
Cs 0.2500 0.2500 0.5783
Cs 0.2500 0.4932 0.1800
Cs 0.7500 0.5068 0.8200
Cs 0.7500 0.7500 0.4217
Cs 0.7500 0.9932 0.8200
Bi 0.0164 0.7500 0.9014
Bi 0.2500 0.6093 0.6739
Bi 0.2500 0.8907 0.6739
Bi 0.4836 0.7500 0.9014
Bi 0.5164 0.2500 0.0986
Bi 0.7500 0.1093 0.3261
Bi 0.7500 0.3907 0.3261
Bi 0.9836 0.2500 0.0986
Pb 0.2500 0.7500 0.2999
Pb 0.7500 0.2500 0.7001

***

[9]
Cd2SeCl: optimized geometry, PBE.

Output
D(E_F) in states/eV/cell: 2.00
Formation energy (no corrections) in eV/atom: -0.162
Total magnetization in μB per cell: 0.00

abc: 3.3244 3.3244 9.0355
angles: 90.00 90.00 90.00
Positions (direct):
Cd 0.0000 0.0000 0.0000
Cd 0.5000 0.5000 0.2593
Se 0.5000 0.5000 0.8093
Cl 0.0000 0.0000 0.4318

***

[10]
AlZn2CdTc: optimized geometry, PBE.

Output
Energy of formation from the pure elements in kJ/mol of atoms: 55
D(E_F) in states/eV/cell: 4.03
Total magnetization in μB per cell: 0.00

abc: 4.8581 4.8581 4.7135
angles: 90.00 90.00 90.00
Positions (direct):
Al 0.0000 0.0000 0.0000
Zn 0.0000 0.5000 0.5000
Zn 0.5000 0.0000 0.5000
Cd 0.5000 0.5000 0.0000
Tc 0.0000 0.0000 0.5000

***

[11]
Ca2TmPuN4: optimized geometry, PBE.

Output
D(E_F) in states/eV/cell: 5.51
Formation energy (no corrections) in eV/atom: -1.302
Total magnetization in μB per cell: 3.00

abc: 5.9149 3.4799 5.9921
angles: 90.00 108.54 90.00
Positions (direct):
Ca 0.0000 0.0000 0.0000
Ca 0.5000 0.5000 0.0000
Tm 0.0000 0.5000 0.5000
Pu 0.5000 0.0000 0.5000
N 0.2601 0.0000 0.7123
N 0.2653 0.5000 0.2790
N 0.7347 0.5000 0.7210
N 0.7399 0.0000 0.2877

***

[12]
HgBiBr: optimized geometry, PBE.

Output
D(E_F) in states/eV/cell: 3.41
Formation energy (no corrections) in eV/atom: -0.134
Total magnetization in μB per cell: 0.00

abc: 14.0406 3.7430 8.5428
angles: 90.00 113.19 90.00
Positions (direct):
Hg 0.0348 0.0000 0.1773
Hg 0.4652 0.5000 0.8227
Hg 0.5348 0.5000 0.1773
Hg 0.9652 0.0000 0.8227
Bi 0.1084 0.5000 0.5001
Bi 0.3916 0.0000 0.4999
Bi 0.6084 0.0000 0.5001
Bi 0.8916 0.5000 0.4999
Br 0.2307 0.0000 0.7871
Br 0.2693 0.5000 0.2129
Br 0.7307 0.5000 0.7871
Br 0.7693 0.0000 0.2129